[1]
Density functional theory data (PBE) for crystalline KN2F at its relaxed geometry.

Cell lengths 4.714, 4.714, 4.714 Å; angles 60.00, 60.00, 60.00 degrees
Last column: magnetic moment on the atom in μB.
Atoms (fractional coordinates):
F 0.000 0.000 0.000  0.34
N 0.250 0.250 0.250  1.87
N 0.750 0.750 0.750  1.87
K 0.500 0.500 0.500  0.04

Calculated values
Energy relative to the elements, uncorrected, eV per atom: 1.45
Density of states at the Fermi level, states/eV per atom: 0.000
Distance to the lowest polymorph of the same formula, meV per atom: 978
Symmetry: No. 225
Total moment, Bohr magnetons per cell: 6.0

[2]
Density functional theory data (PBE) for crystalline KN3F at its relaxed geometry.

Cell lengths 4.140, 4.140, 4.140 Å; angles 90.00, 90.00, 90.00 degrees
Last column: magnetic moment on the atom in μB.
Atoms (fractional coordinates):
N 0.000 0.500 0.000  1.39
N 0.000 0.000 0.500  1.25
N 0.500 0.000 0.000  1.58
F 0.000 0.000 0.000  0.06
K 0.500 0.500 0.500  0.03

Calculated values
Energy relative to the elements, uncorrected, eV per atom: 2.47
Density of states at the Fermi level, states/eV per atom: 0.539
Symmetry: No. 221
Total moment, Bohr magnetons per cell: 6.2

[3]
Density functional theory data (PBE) for crystalline KNF3 at its relaxed geometry.

Cell lengths 3.931, 3.931, 3.931 Å; angles 90.00, 90.00, 90.00 degrees
Last column: magnetic moment on the atom in μB.
Atoms (fractional coordinates):
F 0.000 0.500 0.000  -0.02
F 0.000 0.000 0.500  -0.03
F 0.500 0.000 0.000  0.03
N 0.000 0.000 0.000  0.77
K 0.500 0.500 0.500  0.00

Calculated values
Energy relative to the elements, uncorrected, eV per atom: -0.62
Density of states at the Fermi level, states/eV per atom: 0.171
Distance to the lowest polymorph of the same formula, meV per atom: 419
Symmetry: No. 221
Total moment, Bohr magnetons per cell: 1.0

[4]
Density functional theory data (PBE) for crystalline KN2F4 at its relaxed geometry.

Cell lengths 5.826, 3.648, 5.826 Å; angles 102.62, 75.56, 77.38 degrees
Atoms (fractional coordinates):
F 0.504 0.737 0.974
F 0.026 0.737 0.496
F 0.974 0.263 0.504
F 0.496 0.263 0.026
K 0.000 0.000 0.000
N 0.417 0.054 0.583
N 0.583 0.946 0.417

Calculated values
Energy relative to the elements, uncorrected, eV per atom: -0.73
Density of states at the Fermi level, states/eV per atom: 0.592
Symmetry: No. 12
Total moment, Bohr magnetons per cell: 0.0

[5]
Density functional theory data (PBE) for crystalline KNF6 at its relaxed geometry.

Cell lengths 4.831, 4.831, 4.792 Å; angles 78.72, 78.72, 94.62 degrees
Atoms (fractional coordinates):
F 0.750 0.066 0.238
F 0.250 0.934 0.762
F 0.934 0.250 0.762
F 0.783 0.783 0.918
F 0.066 0.750 0.238
F 0.217 0.217 0.082
K 0.500 0.500 0.500
N 0.000 0.000 0.000

Calculated values
Energy relative to the elements, uncorrected, eV per atom: -0.72
Distance to the lowest polymorph of the same formula, meV per atom: 21
Symmetry: No. 12
Total moment, Bohr magnetons per cell: 0.0

[6]
Density functional theory data (PBE) for crystalline K3NF7 at its relaxed geometry.

Cell lengths 7.723, 7.723, 7.728 Å; angles 90.00, 90.00, 112.88 degrees
Last column: magnetic moment on the atom in μB.
Atoms (fractional coordinates):
F 0.796 0.953 0.545  0.01
F 0.631 0.369 0.750  0.12
F 0.128 0.401 0.620  0.20
F 0.401 0.128 0.380  0.20
F 0.872 0.599 0.120  0.20
F 0.599 0.872 0.880  0.20
F 0.052 0.948 0.750  -0.02
F 0.948 0.052 0.250  -0.02
F 0.953 0.796 0.455  0.01
F 0.204 0.047 0.045  0.01
F 0.348 0.652 0.750  0.39
F 0.369 0.631 0.250  0.12
F 0.047 0.204 0.955  0.01
F 0.652 0.348 0.250  0.39
K 0.435 0.023 0.686  0.00
K 0.531 0.531 0.000  0.00
K 0.023 0.435 0.314  0.00
K 0.565 0.977 0.186  0.00
K 0.469 0.469 0.500  0.00
K 0.977 0.565 0.814  0.00
N 0.973 0.973 0.500  0.10
N 0.027 0.027 0.000  0.10

Calculated values
Energy relative to the elements, uncorrected, eV per atom: -1.52
Density of states at the Fermi level, states/eV per atom: 0.812
Symmetry: No. 20
Total moment, Bohr magnetons per cell: 2.2

[7]
Density functional theory data (PBE) for crystalline KNaN2F8 at its relaxed geometry.

Cell lengths 6.373, 5.278, 7.731 Å; angles 77.61, 65.66, 52.87 degrees
Last column: magnetic moment on the atom in μB.
Atoms (fractional coordinates):
F 0.298 0.558 0.847  0.06
F 0.102 0.516 0.281  0.00
F 0.476 0.074 0.317  0.00
F 0.702 0.442 0.153  0.06
F 0.524 0.926 0.683  0.00
F 0.867 0.926 0.683  0.00
F 0.133 0.074 0.317  0.00
F 0.898 0.484 0.719  0.00
Na 0.000 0.000 0.000  0.00
N 0.704 0.804 0.787  0.00
N 0.296 0.196 0.213  0.00
K 0.500 0.500 0.500  0.00

Calculated values
Energy relative to the elements, uncorrected, eV per atom: -1.06
Density of states at the Fermi level, states/eV per atom: 0.000
Symmetry: No. 12
Total moment, Bohr magnetons per cell: 0.1